Entry 1:
The following is a DFT calculation (GGA-PBE) of Mg2SiTc after structural relaxation.

The structure in POSCAR format:
```
Mg2SiTc
1.0
3.211 0.000 0.000
0.000 3.211 0.000
0.000 0.000 6.686
Mg Si Tc
2 1 1
Direct
0.000 0.000 0.000
0.500 0.500 0.325
0.000 0.000 0.593
0.500 0.500 0.737
```

Calculated values
- crystal system = tetragonal
- final energy (eV per atom) = -4.920



Entry 2:
The following is a DFT calculation (GGA-PBE) of ScBe3B after structural relaxation.

The structure in POSCAR format:
```
ScBe3B
1.0
3.724 0.000 0.000
0.000 3.724 0.000
0.000 0.000 3.724
Sc Be B
1 3 1
Direct
0.000 0.000 0.000
0.000 0.500 0.500
0.500 0.000 0.500
0.500 0.500 0.000
0.500 0.500 0.500
```

Calculated values
- excess energy over the best structure of this formula in the dataset (meV/atom) = 0
- formation energy (meV/atom) = 73
- crystal system = cubic



Q: Which formula does entry 2 have?
A: ScBe3B